A.
Entry from Alexandria via LeMat-Bulk: a geometry-optimized PmNd2Te structure (GGA-PBE).

Computed properties:
DOS at the Fermi energy   1.28 states/eV per atom
Density   7.3 g/cm³
Crystal system   tetragonal
Symmetry   No. 123

CIF file:
```
data_PmNd2Te
_chemical_formula_sum 'Pm1 Nd2 Te1'
_space_group_name_H-M_alt 'P 1'
_space_group_IT_number 1
_cell_length_a 3.9804
_cell_length_b 3.9804
_cell_length_c 8.1023
_cell_angle_alpha 90.00
_cell_angle_beta 90.00
_cell_angle_gamma 90.00
loop_
_space_group_symop_operation_xyz
'x,y,z'
loop_
_atom_site_label
_atom_site_fract_x
_atom_site_fract_y
_atom_site_fract_z
Te1 0.5000 0.5000 0.5000
Nd1 0.0000 0.0000 0.7196
Nd2 0.0000 0.0000 0.2804
Pm1 0.5000 0.5000 0.0000
```

B.
Entry from Alexandria via LeMat-Bulk: a geometry-optimized PmNd2Te structure (GGA-PBE).

Computed properties:
DOS at the Fermi energy   0.89 states/eV per atom
Density   7.5 g/cm³
Crystal system   tetragonal
Symmetry   No. 123

CIF file:
```
data_PmNd2Te
_chemical_formula_sum 'Pm1 Nd2 Te1'
_space_group_name_H-M_alt 'P 1'
_space_group_IT_number 1
_cell_length_a 3.8873
_cell_length_b 5.6394
_cell_length_c 5.6394
_cell_angle_alpha 90.00
_cell_angle_beta 90.00
_cell_angle_gamma 90.00
loop_
_space_group_symop_operation_xyz
'x,y,z'
loop_
_atom_site_label
_atom_site_fract_x
_atom_site_fract_y
_atom_site_fract_z
Te1 0.5000 0.0000 0.0000
Nd1 0.0000 0.0000 0.5000
Nd2 0.0000 0.5000 0.0000
Pm1 0.5000 0.5000 0.5000
```

The structure with the least stability is B.

A.
Entry from Alexandria via LeMat-Bulk: a geometry-optimized PmNd2Te structure (GGA-PBE).

Computed properties:
DOS at the Fermi energy   1.14 states/eV per atom
Density   6.6 g/cm³
Crystal system   trigonal
Symmetry   No. 160

CIF file:
```
data_PmNd2Te
_chemical_formula_sum 'Pm1 Nd2 Te1'
_space_group_name_H-M_alt 'P 1'
_space_group_IT_number 1
_cell_length_a 4.0301
_cell_length_b 4.0301
_cell_length_c 10.2395
_cell_angle_alpha 78.65
_cell_angle_beta 78.65
_cell_angle_gamma 60.00
loop_
_space_group_symop_operation_xyz
'x,y,z'
loop_
_atom_site_label
_atom_site_fract_x
_atom_site_fract_y
_atom_site_fract_z
Pm1 0.4996 0.4996 0.5011
Nd1 0.0714 0.0714 0.7858
Nd2 0.2621 0.2621 0.2136
Te1 0.6668 0.6668 0.9995
```

B.
Entry from Alexandria via LeMat-Bulk: a geometry-optimized PmNd2Te structure (GGA-PBE).

Computed properties:
DOS at the Fermi energy   1.07 states/eV per atom
Density   7.2 g/cm³
Crystal system   orthorhombic
Symmetry   No. 63

CIF file:
```
data_PmNd2Te
_chemical_formula_sum 'Pm2 Nd4 Te2'
_space_group_name_H-M_alt 'P 1'
_space_group_IT_number 1
_cell_length_a 4.0847
_cell_length_b 6.4907
_cell_length_c 10.2802
_cell_angle_alpha 90.00
_cell_angle_beta 90.00
_cell_angle_gamma 108.34
loop_
_space_group_symop_operation_xyz
'x,y,z'
loop_
_atom_site_label
_atom_site_fract_x
_atom_site_fract_y
_atom_site_fract_z
Pm1 0.9407 0.8812 0.2500
Pm2 0.0593 0.1188 0.7500
Nd1 0.3644 0.7290 0.5365
Nd2 0.6356 0.2710 0.4635
Nd3 0.3644 0.7290 0.9635
Nd4 0.6356 0.2710 0.0365
Te1 0.7674 0.5349 0.7500
Te2 0.2326 0.4651 0.2500
```

C.
Entry from Alexandria via LeMat-Bulk: a geometry-optimized PmNd2Te structure (GGA-PBE).

Computed properties:
DOS at the Fermi energy   1.13 states/eV per atom
Density   6.7 g/cm³
Crystal system   trigonal
Symmetry   No. 166

CIF file:
```
data_PmNd2Te
_chemical_formula_sum 'Pm1 Nd2 Te1'
_space_group_name_H-M_alt 'P 1'
_space_group_IT_number 1
_cell_length_a 3.9774
_cell_length_b 3.9774
_cell_length_c 10.4459
_cell_angle_alpha 79.03
_cell_angle_beta 79.03
_cell_angle_gamma 60.00
loop_
_space_group_symop_operation_xyz
'x,y,z'
loop_
_atom_site_label
_atom_site_fract_x
_atom_site_fract_y
_atom_site_fract_z
Te1 0.5000 0.5000 0.5000
Nd1 0.2380 0.2380 0.2859
Nd2 0.7620 0.7620 0.7141
Pm1 0.0000 0.0000 0.0000
```

The structure with the least stability is C.

A.
Entry from Alexandria via LeMat-Bulk: a geometry-optimized PmNdTe structure (GGA-PBE).

Computed properties:
DOS at the Fermi energy   0.94 states/eV per atom
Density   7.3 g/cm³
Crystal system   tetragonal
Symmetry   No. 107

CIF file:
```
data_PmNdTe
_chemical_formula_sum 'Pm1 Nd1 Te1'
_space_group_name_H-M_alt 'P 1'
_space_group_IT_number 1
_cell_length_a 3.9949
_cell_length_b 3.9949
_cell_length_c 6.5736
_cell_angle_alpha 107.69
_cell_angle_beta 107.69
_cell_angle_gamma 90.00
loop_
_space_group_symop_operation_xyz
'x,y,z'
loop_
_atom_site_label
_atom_site_fract_x
_atom_site_fract_y
_atom_site_fract_z
Te1 0.6688 0.6688 0.3376
Nd1 0.0133 0.0133 0.0266
Pm1 0.3179 0.3179 0.6358
```

B.
Entry from Alexandria via LeMat-Bulk: a geometry-optimized PmNdTe structure (GGA-PBE).

Computed properties:
DOS at the Fermi energy   1.27 states/eV per atom
Density   6.8 g/cm³
Crystal system   monoclinic
Symmetry   No. 11

CIF file:
```
data_PmNdTe
_chemical_formula_sum 'Pm2 Nd2 Te2'
_space_group_name_H-M_alt 'P 1'
_space_group_IT_number 1
_cell_length_a 4.1164
_cell_length_b 6.3451
_cell_length_c 8.1251
_cell_angle_alpha 106.85
_cell_angle_beta 90.00
_cell_angle_gamma 90.00
loop_
_space_group_symop_operation_xyz
'x,y,z'
loop_
_atom_site_label
_atom_site_fract_x
_atom_site_fract_y
_atom_site_fract_z
Pm1 0.2500 0.7774 0.5490
Pm2 0.7500 0.2226 0.4510
Nd1 0.7500 0.1759 0.8908
Nd2 0.2500 0.8241 0.1092
Te1 0.7500 0.6367 0.7979
Te2 0.2500 0.3633 0.2021
```

The structure with the least stability is A.

A.
Entry from Alexandria via LeMat-Bulk: a geometry-optimized PmNd3Te6 structure (GGA-PBE).

Computed properties:
Density   6.3 g/cm³
Crystal system   monoclinic
Symmetry   No. 11

CIF file:
```
data_PmNd3Te6
_chemical_formula_sum 'Pm2 Nd6 Te12'
_space_group_name_H-M_alt 'P 1'
_space_group_IT_number 1
_cell_length_a 4.4762
_cell_length_b 12.7535
_cell_length_c 13.1342
_cell_angle_alpha 109.20
_cell_angle_beta 90.00
_cell_angle_gamma 90.00
loop_
_space_group_symop_operation_xyz
'x,y,z'
loop_
_atom_site_label
_atom_site_fract_x
_atom_site_fract_y
_atom_site_fract_z
Pm1 0.7500 0.0435 0.6926
Pm2 0.2500 0.9565 0.3074
Nd1 0.7500 0.4281 0.8321
Nd2 0.2500 0.5719 0.1679
Nd3 0.7500 0.6828 0.5028
Nd4 0.2500 0.3172 0.4972
Nd5 0.7500 0.1560 0.0793
Nd6 0.2500 0.8440 0.9207
Te1 0.7500 0.4858 0.6189
Te2 0.2500 0.5142 0.3811
Te3 0.7500 0.9153 0.1034
Te4 0.2500 0.0847 0.8966
Te5 0.7500 0.3955 0.0634
Te6 0.2500 0.6045 0.9366
Te7 0.7500 0.7522 0.2815
Te8 0.2500 0.2478 0.7185
Te9 0.7500 0.1103 0.4668
Te10 0.2500 0.8897 0.5332
Te11 0.7500 0.8110 0.7494
Te12 0.2500 0.1890 0.2506
```

B.
Entry from Alexandria via LeMat-Bulk: a geometry-optimized PmNd3Te6 structure (GGA-PBE).

Computed properties:
Density   5.6 g/cm³
Crystal system   monoclinic
Symmetry   No. 12

CIF file:
```
data_PmNd3Te6
_chemical_formula_sum 'Pm1 Nd3 Te6'
_space_group_name_H-M_alt 'P 1'
_space_group_IT_number 1
_cell_length_a 7.8074
_cell_length_b 8.2743
_cell_length_c 8.2743
_cell_angle_alpha 62.39
_cell_angle_beta 61.96
_cell_angle_gamma 61.96
loop_
_space_group_symop_operation_xyz
'x,y,z'
loop_
_atom_site_label
_atom_site_fract_x
_atom_site_fract_y
_atom_site_fract_z
Pm1 0.5000 0.5000 0.5000
Nd1 0.3175 0.2501 0.2501
Nd2 0.6825 0.7499 0.7499
Nd3 0.0000 0.0000 0.0000
Te1 0.3396 0.1618 0.6611
Te2 0.6604 0.3389 0.8382
Te3 0.6604 0.8382 0.3389
Te4 0.3396 0.6611 0.1618
Te5 0.0810 0.7489 0.7489
Te6 0.9190 0.2511 0.2511
```

The structure with the least stability is B.

A.
Entry from Alexandria via LeMat-Bulk: a geometry-optimized PmNd2Te3 structure (GGA-PBE).

Computed properties:
DOS at the Fermi energy   0.51 states/eV per atom
Density   7.1 g/cm³
Crystal system   orthorhombic
Symmetry   No. 71

CIF file:
```
data_PmNd2Te3
_chemical_formula_sum 'Pm1 Nd2 Te3'
_space_group_name_H-M_alt 'P 1'
_space_group_IT_number 1
_cell_length_a 4.5112
_cell_length_b 6.3305
_cell_length_c 7.7573
_cell_angle_alpha 114.08
_cell_angle_beta 106.90
_cell_angle_gamma 90.00
loop_
_space_group_symop_operation_xyz
'x,y,z'
loop_
_atom_site_label
_atom_site_fract_x
_atom_site_fract_y
_atom_site_fract_z
Pm1 0.5000 0.5000 0.5000
Nd1 0.8315 0.8315 0.1629
Nd2 0.1685 0.1685 0.8371
Te1 0.8352 0.3352 0.1704
Te2 0.1648 0.6648 0.8296
Te3 0.5000 0.0000 0.5000
```

B.
Entry from Alexandria via LeMat-Bulk: a geometry-optimized PmNd2Te3 structure (GGA-PBE).

Computed properties:
DOS at the Fermi energy   0.52 states/eV per atom
Density   7.1 g/cm³
Crystal system   hexagonal
Symmetry   No. 194

CIF file:
```
data_PmNd2Te3
_chemical_formula_sum 'Pm2 Nd4 Te6'
_space_group_name_H-M_alt 'P 1'
_space_group_IT_number 1
_cell_length_a 4.4055
_cell_length_b 4.4055
_cell_length_c 22.8460
_cell_angle_alpha 90.00
_cell_angle_beta 90.00
_cell_angle_gamma 120.00
loop_
_space_group_symop_operation_xyz
'x,y,z'
loop_
_atom_site_label
_atom_site_fract_x
_atom_site_fract_y
_atom_site_fract_z
Pm1 0.0000 0.0000 0.2500
Pm2 0.0000 0.0000 0.7500
Nd1 0.3333 0.6667 0.9177
Nd2 0.6667 0.3333 0.0823
Nd3 0.6667 0.3333 0.4177
Nd4 0.3333 0.6667 0.5823
Te1 0.0000 0.0000 0.0000
Te2 0.3333 0.6667 0.1661
Te3 0.3333 0.6667 0.3339
Te4 0.0000 0.0000 0.5000
Te5 0.6667 0.3333 0.6661
Te6 0.6667 0.3333 0.8339
```

The structure with the least stability is B.

A.
Entry from Alexandria via LeMat-Bulk: a geometry-optimized Pm3NdTe4 structure (GGA-PBE).

Computed properties:
DOS at the Fermi energy   0.64 states/eV per atom
Density   7.1 g/cm³
Crystal system   orthorhombic
Symmetry   No. 65

CIF file:
```
data_Pm3NdTe4
_chemical_formula_sum 'Pm3 Nd1 Te4'
_space_group_name_H-M_alt 'P 1'
_space_group_IT_number 1
_cell_length_a 4.4320
_cell_length_b 7.7740
_cell_length_c 7.7740
_cell_angle_alpha 108.97
_cell_angle_beta 90.00
_cell_angle_gamma 90.00
loop_
_space_group_symop_operation_xyz
'x,y,z'
loop_
_atom_site_label
_atom_site_fract_x
_atom_site_fract_y
_atom_site_fract_z
Pm1 0.0000 0.0000 0.5000
Pm2 0.5000 0.5000 0.5000
Pm3 0.0000 0.5000 0.0000
Nd1 0.5000 0.0000 0.0000
Te1 0.0000 0.2517 0.2517
Te2 0.5000 0.7491 0.2509
Te3 0.0000 0.7483 0.7483
Te4 0.5000 0.2509 0.7491
```

B.
Entry from Alexandria via LeMat-Bulk: a geometry-optimized Pm3NdTe4 structure (GGA-PBE).

Computed properties:
DOS at the Fermi energy   0.65 states/eV per atom
Density   7.1 g/cm³
Crystal system   hexagonal
Symmetry   No. 194

CIF file:
```
data_Pm3NdTe4
_chemical_formula_sum 'Pm6 Nd2 Te8'
_space_group_name_H-M_alt 'P 1'
_space_group_IT_number 1
_cell_length_a 4.4008
_cell_length_b 4.4008
_cell_length_c 30.2350
_cell_angle_alpha 90.00
_cell_angle_beta 90.00
_cell_angle_gamma 120.00
loop_
_space_group_symop_operation_xyz
'x,y,z'
loop_
_atom_site_label
_atom_site_fract_x
_atom_site_fract_y
_atom_site_fract_z
Te1 0.6667 0.3333 0.9380
Te2 0.3333 0.6667 0.0620
Te3 0.3333 0.6667 0.4380
Te4 0.6667 0.3333 0.5620
Te5 0.0000 0.0000 0.8145
Te6 0.0000 0.0000 0.1855
Te7 0.0000 0.0000 0.3145
Te8 0.0000 0.0000 0.6855
Nd1 0.6667 0.3333 0.7500
Nd2 0.3333 0.6667 0.2500
Pm1 0.0000 0.0000 0.0000
Pm2 0.0000 0.0000 0.5000
Pm3 0.3333 0.6667 0.8767
Pm4 0.6667 0.3333 0.1233
Pm5 0.6667 0.3333 0.3767
Pm6 0.3333 0.6667 0.6233
```

The structure with the least stability is B.